# PBE MnSb2Rh2, optimized geometry
# Density of states at the Fermi level = 11.737 states/eV per cell
# M_tot = 0.082 μB/atom
# Formation energy without anion corrections = 0.235 eV per atom
data_MnSb2Rh2
_space_group_name_H-M_alt 'P 4/m b m'
_space_group_IT_number 127
_space_group_name_Hall '-P 4 2ab'
_cell_length_a 7.014
_cell_length_b 7.014
_cell_length_c 3.622
_cell_angle_alpha 90.00
_cell_angle_beta 90.00
_cell_angle_gamma 90.00
loop_
_atom_site_label
_atom_site_type_symbol
_atom_site_fract_x
_atom_site_fract_y
_atom_site_fract_z
Mn1 Mn 0.000 0.000 0.000
Sb1 Sb 0.169 0.331 0.500
Rh1 Rh 0.138 0.638 0.000


# PBE MnSbRh3, optimized geometry
# Density of states at the Fermi level = 5.902 states/eV per cell
# M_tot = 0.000 μB/atom
# Formation energy without anion corrections = 0.722 eV per atom
data_MnSbRh3
_space_group_name_H-M_alt 'P m -3 m'
_space_group_IT_number 221
_space_group_name_Hall '-P 4 2 3'
_cell_length_a 4.486
_cell_length_b 4.486
_cell_length_c 4.486
_cell_angle_alpha 90.00
_cell_angle_beta 90.00
_cell_angle_gamma 90.00
loop_
_atom_site_label
_atom_site_type_symbol
_atom_site_fract_x
_atom_site_fract_y
_atom_site_fract_z
Mn1 Mn 0.000 0.000 0.000
Sb1 Sb 0.500 0.500 0.500
Rh1 Rh 0.000 0.000 0.500


# PBE MnSbRh, optimized geometry
# Density of states at the Fermi level = 9.395 states/eV per cell
# M_tot = 1.108 μB/atom
# Formation energy without anion corrections = -0.265 eV per atom
data_MnSbRh
_space_group_name_H-M_alt 'F -4 3 m'
_space_group_IT_number 216
_space_group_name_Hall 'F -4 2 3'
_cell_length_a 6.100
_cell_length_b 6.100
_cell_length_c 6.100
_cell_angle_alpha 90.00
_cell_angle_beta 90.00
_cell_angle_gamma 90.00
loop_
_atom_site_label
_atom_site_type_symbol
_atom_site_fract_x
_atom_site_fract_y
_atom_site_fract_z
Mn1 Mn 0.000 0.000 0.000
Sb1 Sb 0.000 0.000 0.500
Rh1 Rh 0.250 0.250 0.250


# PBE MnSbRh, optimized geometry
# Density of states at the Fermi level = 2.522 states/eV per cell
# M_tot = 1.414 μB/atom
# Formation energy without anion corrections = 0.129 eV per atom
data_MnSbRh
_space_group_name_H-M_alt 'P 3 m 1'
_space_group_IT_number 156
_cell_length_a 3.2189
_cell_length_b 3.2189
_cell_length_c 6.0862
_cell_angle_alpha 90.00
_cell_angle_beta 90.00
_cell_angle_gamma 120.00
loop_
_space_group_symop_operation_xyz
'x,y,z'
'-y,x-y,z'
'-x+y,-x,z'
'-y,-x,z'
'-x+y,y,z'
'x,x-y,z'
loop_
_atom_site_label
_atom_site_type_symbol
_atom_site_fract_x
_atom_site_fract_y
_atom_site_fract_z
Mn1 Mn 0.0000 0.0000 0.0000
Sb1 Sb 0.6667 0.3333 0.6283
Rh1 Rh 0.3333 0.6667 0.3010


# PBE Mn4SbRh, optimized geometry
# Density of states at the Fermi level = 38.670 states/eV per cell
# M_tot = 0.886 μB/atom
# Formation energy without anion corrections = 0.234 eV per atom
data_Mn4SbRh
_space_group_name_H-M_alt 'F -4 3 m'
_space_group_IT_number 216
_space_group_name_Hall 'F -4 2 3'
_cell_length_a 6.819
_cell_length_b 6.819
_cell_length_c 6.819
_cell_angle_alpha 90.00
_cell_angle_beta 90.00
_cell_angle_gamma 90.00
loop_
_atom_site_label
_atom_site_type_symbol
_atom_site_fract_x
_atom_site_fract_y
_atom_site_fract_z
Mn1 Mn 0.124 0.124 0.124
Sb1 Sb 0.000 0.000 0.500
Rh1 Rh 0.250 0.250 0.750


# PBE MnSbRh, optimized geometry
# Density of states at the Fermi level = 1.535 states/eV per cell
# M_tot = 1.230 μB/atom
# Formation energy without anion corrections = -0.097 eV per atom
data_MnSbRh
_space_group_name_H-M_alt 'P 3 m 1'
_space_group_IT_number 156
_cell_length_a 4.4241
_cell_length_b 4.4241
_cell_length_c 3.0642
_cell_angle_alpha 90.00
_cell_angle_beta 90.00
_cell_angle_gamma 120.00
loop_
_space_group_symop_operation_xyz
'x,y,z'
'-y,x-y,z'
'-x+y,-x,z'
'-y,-x,z'
'-x+y,y,z'
'x,x-y,z'
loop_
_atom_site_label
_atom_site_type_symbol
_atom_site_fract_x
_atom_site_fract_y
_atom_site_fract_z
Mn1 Mn 0.0000 0.0000 0.0000
Sb1 Sb 0.6667 0.3333 0.5024
Rh1 Rh 0.3333 0.6667 0.4988


# PBE MnSbRh, optimized geometry
# Density of states at the Fermi level = 4.649 states/eV per cell
# M_tot = 1.347 μB/atom
# Formation energy without anion corrections = -0.096 eV per atom
data_MnSbRh
_space_group_name_H-M_alt 'I m m 2'
_space_group_IT_number 44
_cell_length_a 3.271
_cell_length_b 3.795
_cell_length_c 8.188
_cell_angle_alpha 90.00
_cell_angle_beta 90.00
_cell_angle_gamma 90.00
loop_
_space_group_symop_operation_xyz
'x,y,z'
'-x,-y,z'
'-x,y,z'
'x,-y,z'
'x+1/2,y+1/2,z+1/2'
'-x+1/2,-y+1/2,z+1/2'
'-x+1/2,y+1/2,z+1/2'
'x+1/2,-y+1/2,z+1/2'
loop_
_atom_site_label
_atom_site_type_symbol
_atom_site_fract_x
_atom_site_fract_y
_atom_site_fract_z
Mn1 Mn 0.000 0.000 0.000
Sb1 Sb 0.000 0.000 0.325
Rh1 Rh 0.000 0.000 0.658


# PBE MnSb3Rh, optimized geometry
# Density of states at the Fermi level = 3.314 states/eV per cell
# M_tot = 0.321 μB/atom
# Formation energy without anion corrections = 0.625 eV per atom
data_MnSb3Rh
_space_group_name_H-M_alt 'P m -3 m'
_space_group_IT_number 221
_space_group_name_Hall '-P 4 2 3'
_cell_length_a 4.894
_cell_length_b 4.894
_cell_length_c 4.894
_cell_angle_alpha 90.00
_cell_angle_beta 90.00
_cell_angle_gamma 90.00
loop_
_atom_site_label
_atom_site_type_symbol
_atom_site_fract_x
_atom_site_fract_y
_atom_site_fract_z
Mn1 Mn 0.000 0.000 0.000
Sb1 Sb 0.000 0.000 0.500
Rh1 Rh 0.500 0.500 0.500